Record 1
Compound: Th2ZnInTc
Source: the Alexandria database
Functional: PBE-GGA
Structure: relaxed

abc: 7.3414 4.4493 8.0454
angles: 90.00 108.08 90.00
Fractional coordinates of all 10 atoms:
1 Th 0.1297 0.2500 0.3490
2 Th 0.2904 0.2500 0.9552
3 Th 0.7096 0.7500 0.0448
4 Th 0.8703 0.7500 0.6510
5 Zn 0.4312 0.7500 0.3123
6 Zn 0.5688 0.2500 0.6877
7 In 0.3370 0.7500 0.6542
8 In 0.6630 0.2500 0.3458
9 Tc 0.0777 0.7500 0.0895
10 Tc 0.9223 0.2500 0.9105

Results
ΔE_f ... -1.05 eV/f.u.
Space-group type ... P2_1/m, No. 11
N(E_F) ... 2.972 states/eV/f.u.

=====

Record 2
Compound: TbSm2DyHo6
Source: the Alexandria database
Functional: PBE-GGA
Structure: relaxed

abc: 8.7406 8.7406 9.6298
angles: 94.47 94.47 118.11
Fractional coordinates of all 20 atoms:
1 Tb 0.0196 0.9804 0.7500
2 Tb 0.9804 0.0196 0.2500
3 Sm 0.1938 0.2977 0.5427
4 Sm 0.2977 0.1938 0.0427
5 Sm 0.7023 0.8062 0.9573
6 Sm 0.8062 0.7023 0.4573
7 Dy 0.4074 0.5926 0.2500
8 Dy 0.5926 0.4074 0.7500
9 Ho 0.0218 0.5741 0.6858
10 Ho 0.1245 0.7455 0.0569
11 Ho 0.2545 0.8755 0.4431
12 Ho 0.2920 0.5034 0.8800
13 Ho 0.4259 0.9782 0.8142
14 Ho 0.4966 0.7080 0.6200
15 Ho 0.5034 0.2920 0.3800
16 Ho 0.5741 0.0218 0.1858
17 Ho 0.7080 0.4966 0.1200
18 Ho 0.7455 0.1245 0.5569
19 Ho 0.8755 0.2545 0.9431
20 Ho 0.9782 0.4259 0.3142

Results
ΔE_f ... 1.19 eV/f.u.
Space-group type ... C2/c, No. 15
N(E_F) ... 13.837 states/eV/f.u.

=====

Record 3
Compound: Ce6CdRh
Source: the Alexandria database
Functional: PBE-GGA
Structure: relaxed

abc: 6.1703 6.1703 6.3079
angles: 101.11 101.11 102.03
Fractional coordinates of all 8 atoms:
1 Ce 0.0851 0.6645 0.6933
2 Ce 0.3178 0.3178 0.8984
3 Ce 0.3355 0.9149 0.3067
4 Ce 0.6645 0.0851 0.6933
5 Ce 0.6822 0.6822 0.1016
6 Ce 0.9149 0.3355 0.3067
7 Cd 0.5000 0.5000 0.5000
8 Rh 0.0000 0.0000 0.0000

Results
ΔE_f ... -0.64 eV/f.u.
Space-group type ... C2/m, No. 12
N(E_F) ... 24.120 states/eV/f.u.

=====

Record 4
Compound: Na2LiNi2
Source: the Alexandria database
Functional: PBE-GGA
Structure: relaxed

abc: 7.0363 7.0363 7.0363
angles: 147.18 147.18 47.09
Fractional coordinates of all 5 atoms:
1 Na 0.2500 0.7500 0.5000
2 Na 0.7500 0.2500 0.5000
3 Li 0.0000 0.0000 0.0000
4 Ni 0.4145 0.4145 0.0000
5 Ni 0.5855 0.5855 0.0000

Results
ΔE_f ... 3.39 eV/f.u.
Space-group type ... I4/mmm, No. 139
N(E_F) ... 10.517 states/eV/f.u.

=====

Record 5
Compound: TbTm7Tl2
Source: the Alexandria database
Functional: PBE-GGA
Structure: relaxed

abc: 8.9180 8.9180 5.2885
angles: 90.00 90.00 118.87
Fractional coordinates of all 10 atoms:
1 Tb 0.0000 0.0000 0.0000
2 Tm 0.0609 0.3021 0.5000
3 Tm 0.2258 0.7742 0.0000
4 Tm 0.3021 0.0609 0.5000
5 Tm 0.5000 0.5000 0.5000
6 Tm 0.6979 0.9391 0.5000
7 Tm 0.7742 0.2258 0.0000
8 Tm 0.9391 0.6979 0.5000
9 Tl 0.3062 0.6938 0.5000
10 Tl 0.6938 0.3062 0.5000

Results
ΔE_f ... 3.75 eV/f.u.
Space-group type ... Cmmm, No. 65
N(E_F) ... 17.919 states/eV/f.u.

=====

Record 6
Compound: Pr3Nd6Ho2
Source: the Alexandria database
Functional: PBE-GGA
Structure: relaxed

abc: 17.2600 17.2600 17.2600
angles: 163.78 163.78 23.02
Fractional coordinates of all 11 atoms:
1 Pr 0.0000 0.0000 0.0000
2 Pr 0.2022 0.2022 0.0000
3 Pr 0.7978 0.7978 0.0000
4 Nd 0.1186 0.6186 0.5000
5 Nd 0.3048 0.3048 0.0000
6 Nd 0.3814 0.8814 0.5000
7 Nd 0.6186 0.1186 0.5000
8 Nd 0.6952 0.6952 0.0000
9 Nd 0.8814 0.3814 0.5000
10 Ho 0.4547 0.4547 0.0000
11 Ho 0.5453 0.5453 0.0000

Results
ΔE_f ... 2.94 eV/f.u.
Space-group type ... I4/mmm, No. 139
N(E_F) ... 15.983 states/eV/f.u.

=====

Record 7
Compound: Tl2Sb2AsAu2
Source: the Alexandria database
Functional: PBE-GGA
Structure: relaxed

abc: 4.4811 6.9118 7.6581
angles: 114.79 92.77 106.21
Fractional coordinates of all 7 atoms:
1 Tl 0.0250 0.4981 0.2624
2 Tl 0.9750 0.5019 0.7376
3 Sb 0.2866 0.0187 0.8110
4 Sb 0.7134 0.9813 0.1890
5 As 0.5000 0.5000 0.0000
6 Au 0.2477 0.0153 0.3996
7 Au 0.7523 0.9847 0.6004

Results
Space-group type ... P-1, No. 2
N(E_F) ... 3.297 states/eV/f.u.
E_form (uncorrected) ... 28 meV per atom

=====

Record 8
Compound: Ba2CrIrSe
Source: the Alexandria database
Functional: PBE-GGA
Structure: relaxed

abc: 6.0743 6.0743 4.7098
angles: 90.00 90.00 90.00
Fractional coordinates of all 5 atoms:
1 Ba 0.0000 0.5000 0.0000
2 Ba 0.5000 0.0000 0.0000
3 Cr 0.0000 0.0000 0.5000
4 Ir 0.0000 0.0000 0.0000
5 Se 0.5000 0.5000 0.5000

Results
Space-group type ... P4/mmm, No. 123
N(E_F) ... 1.794 states/eV/f.u.
E_form (uncorrected) ... -267 meV per atom

=====

One value per record, in order, for volume: 25.0; 32.1; 28.0; 20.4; 36.8; 36.5; 29.0; 34.8 Å³ per atom.